# SnAsF2 | the Alexandria database | GGA-PBE | optimized geometry
# Total moment in μB per formula unit: 0.67
# Raw formation energy in eV/atom: -0.75
# Energy in eV per atom: -3.850
data_SnAsF2
_symmetry_space_group_name_H-M 'F m -3 m'
_symmetry_Int_Tables_number 225
_symmetry_space_group_name_Hall '-F 4 2 3'
_cell_length_a 6.378
_cell_length_b 6.378
_cell_length_c 6.378
_cell_angle_alpha 90.00
_cell_angle_beta 90.00
_cell_angle_gamma 90.00
loop_
_atom_site_label
_atom_site_type_symbol
_atom_site_fract_x
_atom_site_fract_y
_atom_site_fract_z
_atom_site_occupancy
Sn1 Sn 0.000 0.000 0.000 1
As1 As 0.000 0.000 0.500 1
F1 F 0.250 0.250 0.250 1